Entry 1:
{"formula": "Re2TeCl", "functional": "PBE", "state": "optimized geometry", "vol_a3_per_fu": 70, "e_tot_ev_per_cell": -25.0, "raw_formation_energy_ev_per_atom": 1.2309, "lattice_angstrom": [[5.348, -0.001, 0.001], [1.836, 5.023, -0.001], [-2.680, -3.815, 2.620]], "species": ["Cl", "Re", "Re", "Te"], "frac_coords": [[0.750, 0.250, 0.500], [0.503, 0.503, 0.000], [0.997, 0.997, 0.000], [0.250, 0.750, 0.500]]}

Entry 2:
{"formula": "ReTe2Cl12", "functional": "PBE", "state": "optimized geometry", "vol_a3_per_fu": 475, "e_tot_ev_per_cell": -49.8, "raw_formation_energy_ev_per_atom": -0.5937, "lattice_angstrom": [[-6.808, 2.324, -0.644], [-3.923, -0.460, 5.487], [-0.614, 10.876, 4.033]], "species": ["Cl", "Cl", "Cl", "Cl", "Te", "Re", "Cl", "Cl", "Cl", "Cl", "Cl", "Cl", "Cl", "Te", "Cl"], "frac_coords": [[0.686, 0.026, 0.598], [0.803, 0.394, 0.981], [0.567, 0.569, 0.708], [0.963, 0.985, 0.807], [0.744, 0.737, 0.763], [0.000, 0.000, 0.000], [0.680, 0.948, 0.098], [0.433, 0.431, 0.292], [0.915, 0.486, 0.345], [0.320, 0.052, 0.902], [0.197, 0.606, 0.019], [0.037, 0.015, 0.193], [0.314, 0.974, 0.402], [0.256, 0.263, 0.237], [0.085, 0.514, 0.655]]}

Entry 3:
{"formula": "Re3TeCl", "functional": "PBE", "state": "optimized geometry", "vol_a3_per_fu": 89, "e_tot_ev_per_cell": -32.6, "raw_formation_energy_ev_per_atom": 1.9441, "lattice_angstrom": [[4.464, 0.000, 0.000], [0.000, 4.464, 0.000], [0.000, 0.000, 4.464]], "species": ["Re", "Re", "Te", "Re", "Cl"], "frac_coords": [[0.500, 0.000, 0.000], [0.000, 0.500, 0.000], [0.500, 0.500, 0.500], [0.000, 0.000, 0.500], [0.000, 0.000, 0.000]]}

Entry 4:
{"formula": "ReTe2Cl", "functional": "PBE", "state": "optimized geometry", "vol_a3_per_fu": 123, "e_tot_ev_per_cell": -20.0, "raw_formation_energy_ev_per_atom": 0.1328, "lattice_angstrom": [[-0.806, 6.472, 2.004], [-1.661, 6.517, -1.151], [-6.007, 2.071, 1.657]], "species": ["Te", "Cl", "Re", "Te"], "frac_coords": [[0.908, 0.908, 0.100], [0.597, 0.597, 0.441], [0.243, 0.243, 0.141], [0.752, 0.752, 0.818]]}

Entry 5:
{"formula": "Re2TeCl", "functional": "PBE", "state": "optimized geometry", "vol_a3_per_fu": 87, "e_tot_ev_per_cell": -26.1, "raw_formation_energy_ev_per_atom": 0.9450, "lattice_angstrom": [[4.232, 0.000, 0.000], [0.000, 3.975, 0.005], [0.000, -0.467, 5.153]], "species": ["Re", "Te", "Re", "Cl"], "frac_coords": [[0.000, 0.047, 0.896], [0.500, 0.250, 0.250], [0.000, 0.453, 0.604], [0.500, 0.750, 0.750]]}

Entry 6:
{"formula": "ReTeCl", "functional": "PBE", "state": "optimized geometry", "vol_a3_per_fu": 87, "e_tot_ev_per_cell": -35.3, "raw_formation_energy_ev_per_atom": -0.0631, "lattice_angstrom": [[3.608, -0.409, 0.038], [0.798, 6.671, 0.092], [1.731, -0.273, 7.184]], "species": ["Re", "Cl", "Te", "Te", "Re", "Cl"], "frac_coords": [[0.312, 0.021, 0.376], [0.430, 0.245, 0.135], [0.158, 0.263, 0.680], [0.842, 0.737, 0.320], [0.688, 0.979, 0.624], [0.570, 0.755, 0.865]]}

Entry 7:
{"formula": "ReTe2Cl", "functional": "PBE", "state": "optimized geometry", "vol_a3_per_fu": 108, "e_tot_ev_per_cell": -16.5, "raw_formation_energy_ev_per_atom": 1.0250, "lattice_angstrom": [[3.171, 0.000, 0.000], [0.000, 7.596, 0.000], [0.000, 0.000, 4.488]], "species": ["Re", "Te", "Te", "Cl"], "frac_coords": [[0.000, 0.500, 0.500], [0.000, 0.000, 0.000], [0.500, 0.500, 0.000], [0.500, 0.000, 0.500]]}

Entry 8:
{"formula": "Re2TeCl", "functional": "PBE", "state": "optimized geometry", "vol_a3_per_fu": 77, "e_tot_ev_per_cell": -28.5, "raw_formation_energy_ev_per_atom": 0.3584, "lattice_angstrom": [[9.968, 0.027, 0.016], [9.503, 3.011, 0.016], [9.503, 1.483, 2.620]], "species": ["Re", "Te", "Re", "Cl"], "frac_coords": [[0.996, 0.996, 0.996], [0.515, 0.515, 0.515], [0.262, 0.262, 0.262], [0.728, 0.728, 0.728]]}